[1]
Here is a geometry-optimized PmAl2Pd9 structure from Alexandria. Energies are from PBE.

Calculated values
formation enthalpy at 0 K	-0.654	eV/atom

Cell: 4.046 4.046 11.787 Å, 90.00 90.00 90.00°
Element x y z (fractional)
1 Pd 0.500 0.500 0.000
2 Pd 0.500 0.500 0.658
3 Pd 0.500 0.000 0.813
4 Pd 0.000 0.500 0.500
5 Pd 0.500 0.500 0.342
6 Pd 0.000 0.500 0.187
7 Pd 0.500 0.000 0.500
8 Pd 0.000 0.500 0.813
9 Pd 0.500 0.000 0.187
10 Pm 0.000 0.000 0.000
11 Al 0.000 0.000 0.345
12 Al 0.000 0.000 0.655

***

[2]
Here is a geometry-optimized Pm2AlPd2 structure from Alexandria. Energies are from PBE.

Calculated values
distance to the lowest polymorph of the same formula	0.68	eV/f.u.
formation enthalpy at 0 K	-0.668	eV/atom

Cell: 5.902 7.366 7.312 Å, 120.25 113.81 90.00°
Element x y z (fractional)
1 Al 0.750 0.500 0.000
2 Al 0.250 0.500 0.000
3 Pm 0.651 0.990 0.301
4 Pm 0.849 0.689 0.699
5 Pm 0.349 0.010 0.699
6 Pm 0.151 0.311 0.301
7 Pd 0.399 0.646 0.798
8 Pd 0.601 0.354 0.202
9 Pd 0.101 0.848 0.202
10 Pd 0.899 0.152 0.798